1.
# BeZn2In

BeZn2In after structural relaxation (PBE, the Alexandria database).

```
BeZn2In
1.0
-2.021 2.021 3.963
2.021 -2.021 3.963
2.021 2.021 -3.963
Be Zn In
1 2 1
Cartesian
0.000 0.000 0.000
0.000 0.000 3.963
0.000 2.021 1.982
2.021 0.000 1.982
```

2.
# BeZn2In

BeZn2In after structural relaxation (PBE, the Alexandria database).

```
BeZn2In
1.0
3.348 0.000 0.000
0.000 4.020 0.000
-1.632 0.000 4.896
Be Zn In
1 2 1
Cartesian
0.000 0.000 0.000
0.028 0.000 2.717
1.697 2.010 3.566
1.655 2.010 0.905
```

no.,energy of formation (eV per atom),distance to the lowest polymorph of the same formula (meV/atom),V (Å³ per cell)
1,0.33,93,65
2,0.27,38,66